Here is crystalline CdH3Rh at its relaxed geometry from the Alexandria database. Energies are from PBE.

E_tot ... -71.57 eV/cell
Space-group type ... Fd-3m, No. 227

POSCAR file:
```
CdH3Rh
1.0
0.000 4.610 4.610
4.610 0.000 4.610
4.610 4.610 0.000
Cd H Rh
4 12 4
Direct
0.000 0.000 0.000
0.000 0.000 0.500
0.000 0.500 0.000
0.500 0.000 0.000
0.188 0.188 0.562
0.188 0.562 0.188
0.188 0.562 0.562
0.438 0.438 0.812
0.438 0.812 0.438
0.438 0.812 0.812
0.562 0.188 0.188
0.562 0.188 0.562
0.562 0.562 0.188
0.812 0.438 0.438
0.812 0.438 0.812
0.812 0.812 0.438
0.000 0.500 0.500
0.500 0.000 0.500
0.500 0.500 0.000
0.500 0.500 0.500
```

---

Here is crystalline Cd4H2Rh3 at its relaxed geometry from the Alexandria database. Energies are from PBE.

E_tot ... -33.19 eV/cell
Space-group type ... P-1, No. 2

POSCAR file:
```
Cd4H2Rh3
1.0
2.964 0.000 0.000
-1.471 5.701 0.000
-0.017 -2.697 8.022
Cd H Rh
4 2 3
Direct
0.131 0.263 0.001
0.287 0.575 0.362
0.713 0.425 0.638
0.869 0.737 0.999
0.014 0.031 0.717
0.986 0.969 0.283
0.000 0.000 0.500
0.436 0.872 0.748
0.564 0.128 0.252
```

---

Here is crystalline CdHRh at its relaxed geometry from the Alexandria database. Energies are from PBE.

E_tot ... -11.44 eV/cell
Space-group type ... I4mm, No. 107

POSCAR file:
```
CdHRh
1.0
-1.412 1.412 4.855
1.412 -1.412 4.855
1.412 1.412 -4.855
Cd H Rh
1 1 1
Direct
0.000 0.000 0.000
0.246 0.246 0.000
0.718 0.718 0.000
```